Density functional theory data (PBE) for a geometry-optimized NaCaNpI6 structure.

Computed properties:
total magnetic moment = 4.0 μB per formula unit
uncorrected formation energy = -1.18 eV per atom

Cell lengths 7.9215, 7.9215, 14.5381 Å; angles 90.00, 90.00, 120.00 degrees
Last column: nearest neighbours and their distance in Å.
Fractional positions:
Ca 0.6667 0.3333 0.7500  6 I 3.15
Ca 0.3333 0.6667 0.2500  6 I 3.15
Np 0.6667 0.3333 0.2500  6 I 3.12
Np 0.3333 0.6667 0.7500  6 I 3.12
I 0.3496 0.3469 0.3722  1 Np 3.12, 1 Ca 3.15, 1 Na 3.33
I 0.3496 0.0027 0.1278  1 Np 3.12, 1 Ca 3.15, 1 Na 3.33
I 0.6531 0.0027 0.3722  1 Np 3.12, 1 Ca 3.15, 1 Na 3.33
I 0.0027 0.3496 0.6278  1 Np 3.12, 1 Ca 3.15, 1 Na 3.33
I 0.3469 0.9973 0.6278  1 Np 3.12, 1 Ca 3.15, 1 Na 3.33
I 0.6504 0.9973 0.8722  1 Np 3.12, 1 Ca 3.15, 1 Na 3.33
I 0.6531 0.6504 0.1278  1 Np 3.12, 1 Ca 3.15, 1 Na 3.33
I 0.6504 0.6531 0.6278  1 Np 3.12, 1 Ca 3.15, 1 Na 3.33
I 0.9973 0.3469 0.1278  1 Np 3.12, 1 Ca 3.15, 1 Na 3.33
I 0.0027 0.6531 0.8722  1 Np 3.12, 1 Ca 3.15, 1 Na 3.33
I 0.9973 0.6504 0.3722  1 Np 3.12, 1 Ca 3.15, 1 Na 3.33
I 0.3469 0.3496 0.8722  1 Np 3.12, 1 Ca 3.15, 1 Na 3.33
Na 0.0000 0.0000 0.0000  6 I 3.33
Na 0.0000 0.0000 0.5000  6 I 3.33